The following is a PBE calculation of an optimized crystal structure of VSnSeBr2, from the Alexandria database.

extended XYZ file:
```
5
Lattice="5.063 0.000 0.000 0.000 5.063 0.000 0.000 0.000 5.137" Properties=species:S:1:pos:R:3 pbc="T T T"
Se 0.000 0.000 2.568
Sn 2.531 2.531 2.568
Br 0.000 2.531 0.000
Br 2.531 0.000 0.000
V 0.000 0.000 0.000
```

Values from the calculation:
**Relative energy among the computed polymorphs**: 0 meV per atom
**Uncorrected formation energy**: -0.291 eV per atom



The following is a PBE calculation of an optimized crystal structure of VSnSe2Br, from the Alexandria database.

extended XYZ file:
```
5
Lattice="-2.298 4.011 1.848 -1.977 0.929 -4.474 -3.995 -2.831 1.177" Properties=species:S:1:pos:R:3 pbc="T T T"
Se -0.988 0.465 -2.237
Se -1.149 2.006 0.924
Sn -4.135 1.055 -0.724
Br -1.998 -1.416 0.589
V 0.000 0.000 0.000
```

Values from the calculation:
**Relative energy among the computed polymorphs**: 0 meV per atom
**Uncorrected formation energy**: -0.246 eV per atom



- Which value of uncorrected formation energy does entry 1 give?
  -0.291 eV per atom



- Which formula does entry 1 have?
  VSnSeBr2



Please write out number 2 again, unchanged.
The following is a PBE calculation of an optimized crystal structure of VSnSe2Br, from the Alexandria database.

extended XYZ file:
```
5
Lattice="-2.298 4.011 1.848 -1.977 0.929 -4.474 -3.995 -2.831 1.177" Properties=species:S:1:pos:R:3 pbc="T T T"
Se -0.988 0.465 -2.237
Se -1.149 2.006 0.924
Sn -4.135 1.055 -0.724
Br -1.998 -1.416 0.589
V 0.000 0.000 0.000
```

Values from the calculation:
**Relative energy among the computed polymorphs**: 0 meV per atom
**Uncorrected formation energy**: -0.246 eV per atom